Below is a geometry-optimized Ac2ScFeO6 structure, with properties calculated at the PBE+U level.

```
Ac2ScFeO6
1.0
-0.943 -4.333 -3.599
3.843 2.147 -3.592
5.770 -4.279 3.615
Ac Sc Fe O
4 2 2 12
Cartesian
5.219 1.021 -2.641 Ac
5.841 -4.286 -0.958 Ac
3.450 -7.486 -0.936 Ac
2.829 -2.179 -2.618 Ac
2.414 -4.306 0.008 Sc
1.921 1.074 -1.796 Sc
-0.472 -2.166 -1.800 Fe
4.806 -1.066 0.012 Fe
2.754 0.256 -3.532 O
5.260 -3.998 -3.611 O
5.916 -6.721 -0.044 O
3.410 -2.467 0.035 O
5.241 -1.580 -1.851 O
7.848 -5.777 -2.024 O
3.429 -4.885 -1.725 O
0.822 -0.687 -1.552 O
2.543 -4.089 -4.282 O
7.766 -3.020 -2.419 O
6.126 -2.375 0.706 O
0.904 -3.445 -1.157 O
```

Properties
The total energy is -78.33 eV/f.u.